A relaxed LiHgGe2 crystal. Source: Alexandria, functional PBE.

Cell: 6.163 6.163 6.163 Å, 101.39 101.39 127.23°
Atoms (fractional coordinates):
Li (0.000, 0.000, 0.000)
Li (0.750, 0.250, 0.500)
Hg (0.250, 0.750, 0.500)
Hg (0.500, 0.500, 0.000)
Ge (0.138, 0.125, 0.513)
Ge (0.375, 0.862, 0.987)
Ge (0.612, 0.625, 0.487)
Ge (0.875, 0.388, 0.013)

The formation energy is 145 meV per atom. For the calculated volume, the calculation gives 20.9 Å³ per atom. The value obtained for the total energy is -21.7 eV/cell.

---

A relaxed GeAsP crystal. Source: Alexandria, functional PBE.

Cell: 5.147 5.148 5.477 Å, 90.00 90.00 90.00°
Atoms (fractional coordinates):
Ge (0.245, 0.000, 0.000)
Ge (0.755, 0.500, 0.000)
As (0.406, 0.655, 0.283)
As (0.594, 0.155, 0.717)
P (0.083, 0.332, 0.258)
P (0.917, 0.832, 0.742)

The energy above the most stable polymorph in this dataset is 0 meV/atom. The formation energy is -2 meV per atom. For the calculated volume, the calculation gives 24.2 Å³ per atom. The value obtained for the total energy is -29.4 eV/cell.